Entry 1:
Material: GeO2F2
Method: DFT, GGA-PBE
State: optimized geometry

Results
Final energy, eV per atom: -4.454
E above lowest polymorph, meV per atom: 34.8
Energy relative to the elements, uncorrected, kJ/mol of atoms: -77.07

a = 3.709 Å, b = 3.709 Å, c = 3.783 Å
α = 90.00°, β = 90.00°, γ = 90.00°
Positions (direct):
F: 0.000 0.000 0.500
F: 0.500 0.500 0.500
Ge: 0.000 0.000 0.000
O: 0.500 0.000 0.000
O: 0.000 0.500 0.000

Entry 2:
Material: GeOF3
Method: DFT, GGA-PBE
State: optimized geometry

Results
Final energy, eV per atom: -4.066
E above lowest polymorph, meV per atom: 762.5
Energy relative to the elements, uncorrected, kJ/mol of atoms: -99.18

a = 3.975 Å, b = 3.975 Å, c = 3.975 Å
α = 90.00°, β = 90.00°, γ = 90.00°
Positions (direct):
F: 0.500 0.000 0.000
F: 0.000 0.000 0.500
O: 0.500 0.500 0.500
F: 0.000 0.500 0.000
Ge: 0.000 0.000 0.000

Entry 3:
Material: GeO2F2
Method: DFT, GGA-PBE
State: optimized geometry

Results
Final energy, eV per atom: -3.626
E above lowest polymorph, meV per atom: 862.7
Energy relative to the elements, uncorrected, kJ/mol of atoms: 2.81

a = 3.874 Å, b = 3.874 Å, c = 3.690 Å
α = 90.00°, β = 90.00°, γ = 90.00°
Positions (direct):
Ge: 0.500 0.500 0.500
F: 0.500 0.000 0.000
O: 0.000 0.000 0.000
O: 0.000 0.000 0.500
F: 0.000 0.500 0.000

Entry 4:
Material: GeO2F2
Method: DFT, GGA-PBE
State: optimized geometry

Results
Final energy, eV per atom: -3.346
E above lowest polymorph, meV per atom: 1142.8
Energy relative to the elements, uncorrected, kJ/mol of atoms: 29.84

a = 3.542 Å, b = 3.542 Å, c = 4.634 Å
α = 90.00°, β = 90.00°, γ = 90.00°
Positions (direct):
O: 0.000 0.500 0.000
Ge: 0.500 0.500 0.500
F: 0.000 0.000 0.000
F: 0.000 0.000 0.500
O: 0.500 0.000 0.000

Entry 5:
Material: GeOF3
Method: DFT, GGA-PBE
State: optimized geometry

Results
Final energy, eV per atom: -3.294
E above lowest polymorph, meV per atom: 1534.2
Energy relative to the elements, uncorrected, kJ/mol of atoms: -24.72

a = 3.927 Å, b = 3.927 Å, c = 3.927 Å
α = 90.00°, β = 90.00°, γ = 90.00°
Positions (direct):
O: 0.000 0.000 0.000
F: 0.000 0.500 0.000
Ge: 0.500 0.500 0.500
F: 0.000 0.000 0.500
F: 0.500 0.000 0.000

Entry 6:
Material: Ge2O3F
Method: DFT, GGA-PBE
State: optimized geometry

Results
Final energy, eV per atom: -5.833
Energy relative to the elements, uncorrected, kJ/mol of atoms: -145.04

a = 3.756 Å, b = 3.959 Å, c = 10.356 Å
α = 101.01°, β = 100.45°, γ = 90.00°
Positions (direct):
F: 0.310 0.060 0.619
Ge: 0.058 0.307 0.115
O: 0.401 0.652 0.803
Ge: 0.309 0.559 0.619
O: 0.964 0.214 0.929
O: 0.036 0.786 0.071
O: 0.599 0.348 0.197
O: 0.212 0.462 0.424
F: 0.690 0.940 0.381
O: 0.788 0.538 0.576
Ge: 0.691 0.441 0.381
Ge: 0.942 0.693 0.885

Entry 7:
Material: GeOF
Method: DFT, GGA-PBE
State: optimized geometry

Results
Final energy, eV per atom: -5.184
E above lowest polymorph, meV per atom: 379.7
Energy relative to the elements, uncorrected, kJ/mol of atoms: -132.01

a = 4.739 Å, b = 3.248 Å, c = 3.248 Å
α = 120.00°, β = 90.00°, γ = 90.00°
Positions (direct):
O: 0.520 0.333 0.667
F: 0.109 0.000 0.000
Ge: 0.371 0.667 0.333

Entry 8:
Material: GeOF
Method: DFT, GGA-PBE
State: optimized geometry

Results
Final energy, eV per atom: -5.381
E above lowest polymorph, meV per atom: 182.7
Energy relative to the elements, uncorrected, kJ/mol of atoms: -151.01

a = 4.891 Å, b = 3.792 Å, c = 4.778 Å
α = 90.00°, β = 90.00°, γ = 90.00°
Positions (direct):
Ge: 0.075 0.036 0.771
F: 0.524 0.536 0.215
O: 0.694 0.036 0.660
Ge: 0.575 0.536 0.583
O: 0.194 0.536 0.694
F: 0.024 0.036 0.139

Entry 9:
Material: Ge2O4F
Method: DFT, GGA-PBE
State: optimized geometry

Results
Final energy, eV per atom: -5.713
Energy relative to the elements, uncorrected, kJ/mol of atoms: -124.80

a = 6.149 Å, b = 6.153 Å, c = 6.441 Å
α = 100.46°, β = 100.44°, γ = 128.30°
Positions (direct):
Ge: 0.527 0.287 0.173
O: 0.923 0.472 0.693
O: 0.533 0.147 0.905
F: 0.127 0.128 0.000
Ge: 0.606 0.865 0.327
Ge: 0.115 0.356 0.827
Ge: 0.537 0.277 0.673
F: 0.378 0.877 0.500
O: 0.244 0.631 0.095
O: 0.481 0.530 0.808
O: 0.397 0.283 0.405
O: 0.881 0.994 0.595
O: 0.780 0.231 0.307
O: 0.722 0.672 0.193

Entry 10:
Material: GeOF
Method: DFT, GGA-PBE
State: optimized geometry

Results
Final energy, eV per atom: -5.020
E above lowest polymorph, meV per atom: 543.3
Energy relative to the elements, uncorrected, kJ/mol of atoms: -116.22

a = 3.664 Å, b = 3.664 Å, c = 3.664 Å
α = 60.00°, β = 60.00°, γ = 60.00°
Positions (direct):
F: 0.000 0.000 0.000
O: 0.500 0.500 0.500
Ge: 0.250 0.250 0.250

Entry 11:
Material: GeO2F2
Method: DFT, GGA-PBE
State: optimized geometry

Results
Final energy, eV per atom: -4.489
E above lowest polymorph, meV per atom: 0.0
Energy relative to the elements, uncorrected, kJ/mol of atoms: -80.43

a = 3.912 Å, b = 3.912 Å, c = 3.541 Å
α = 90.00°, β = 90.00°, γ = 90.00°
Positions (direct):
F: 0.500 0.000 0.000
Ge: 0.000 0.000 0.000
O: 0.000 0.000 0.500
O: 0.500 0.500 0.500
F: 0.000 0.500 0.000

Entry 12:
Material: Ge2OF4
Method: DFT, GGA-PBE
State: optimized geometry

Results
Final energy, eV per atom: -5.160
Energy relative to the elements, uncorrected, kJ/mol of atoms: -199.02

a = 5.618 Å, b = 10.125 Å, c = 10.156 Å
α = 104.97°, β = 80.96°, γ = 150.43°
Positions (direct):
F: 0.688 0.566 0.238
F: 0.320 0.214 0.716
O: 0.998 0.176 0.996
F: 0.701 0.077 0.261
F: 0.301 0.216 0.449
F: 0.126 0.533 0.579
F: 0.799 0.704 0.921
Ge: 0.260 0.780 0.360
Ge: 0.188 0.400 0.938
F: 0.106 0.520 0.052
O: 0.255 0.931 0.504
Ge: 0.152 0.171 0.140
F: 0.857 0.250 0.784
Ge: 0.499 0.212 0.562

Entry 13:
Material: Ge3O2F2
Method: DFT, GGA-PBE
State: optimized geometry

Results
Final energy, eV per atom: -5.373
Energy relative to the elements, uncorrected, kJ/mol of atoms: -139.18

a = 5.769 Å, b = 7.848 Å, c = 6.755 Å
α = 90.00°, β = 50.01°, γ = 90.00°
Positions (direct):
O: 0.501 0.433 0.672
F: 0.328 0.239 0.190
Ge: 0.682 0.984 0.682
O: 0.999 0.933 0.328
F: 0.828 0.261 0.190
Ge: 0.818 0.484 0.318
O: 0.499 0.567 0.328
F: 0.172 0.739 0.810
Ge: 0.500 0.500 0.000
F: 0.672 0.761 0.810
Ge: 0.182 0.516 0.682
Ge: 0.318 0.016 0.318
Ge: 0.000 0.000 0.000
O: 0.001 0.067 0.672

Entry 14:
Material: Ge3OF3
Method: DFT, GGA-PBE
State: optimized geometry

Results
Final energy, eV per atom: -4.935
Energy relative to the elements, uncorrected, kJ/mol of atoms: -139.48

a = 4.191 Å, b = 7.446 Å, c = 7.855 Å
α = 105.53°, β = 90.00°, γ = 90.00°
Positions (direct):
Ge: 0.250 0.806 0.535
Ge: 0.250 0.833 0.103
Ge: 0.250 0.430 0.279
F: 0.250 0.208 0.913
F: 0.750 0.383 0.105
Ge: 0.750 0.570 0.721
O: 0.750 0.313 0.714
Ge: 0.750 0.167 0.897
O: 0.250 0.687 0.286
F: 0.750 0.792 0.087
F: 0.750 0.897 0.519
F: 0.250 0.617 0.895
F: 0.250 0.103 0.481
Ge: 0.750 0.194 0.465

Entry 15:
Material: GeOF
Method: DFT, GGA-PBE
State: optimized geometry

Results
Final energy, eV per atom: -5.563
E above lowest polymorph, meV per atom: 0.0
Energy relative to the elements, uncorrected, kJ/mol of atoms: -168.64

a = 7.150 Å, b = 5.734 Å, c = 5.079 Å
α = 88.26°, β = 103.54°, γ = 78.07°
Positions (direct):
Ge: 0.915 0.206 0.561
O: 0.013 0.097 0.278
Ge: 0.583 0.723 0.671
O: 0.670 0.364 0.504
O: 0.330 0.636 0.496
F: 0.409 0.116 0.662
F: 0.591 0.884 0.338
O: 0.987 0.903 0.722
Ge: 0.085 0.794 0.439
F: 0.951 0.609 0.245
Ge: 0.417 0.277 0.329
F: 0.049 0.391 0.755

Entry 16:
Material: GeOF3
Method: DFT, GGA-PBE
State: optimized geometry

Results
Final energy, eV per atom: -4.828
E above lowest polymorph, meV per atom: 0.0
Energy relative to the elements, uncorrected, kJ/mol of atoms: -172.75

a = 6.205 Å, b = 7.022 Å, c = 4.957 Å
α = 117.96°, β = 91.16°, γ = 69.90°
Positions (direct):
Ge: 0.377 0.300 0.908
F: 0.384 0.874 0.482
Ge: 0.120 0.899 0.644
F: 0.128 0.817 0.924
F: 0.095 0.202 0.939
F: 0.163 0.603 0.329
O: 0.824 0.503 0.623
F: 0.521 0.178 0.137
O: 0.671 0.592 0.848
F: 0.849 0.015 0.560

Entry 17:
Material: PaGeO4F2
Method: DFT, GGA-PBE
State: optimized geometry

Results
Final energy, eV per atom: -7.138
Energy relative to the elements, uncorrected, kJ/mol of atoms: -234.12

a = 5.355 Å, b = 7.206 Å, c = 6.390 Å
α = 90.00°, β = 90.00°, γ = 90.00°
Positions (direct):
F: 0.265 0.496 0.262
O: 0.401 0.977 0.000
Ge: 0.576 0.966 0.500
O: 0.901 0.023 0.500
F: 0.765 0.504 0.238
O: 0.002 0.180 0.209
O: 0.412 0.178 0.500
O: 0.002 0.180 0.791
Pa: 0.576 0.674 0.000
O: 0.502 0.820 0.291
Ge: 0.076 0.034 0.000
Pa: 0.076 0.326 0.500
O: 0.912 0.822 0.000
O: 0.502 0.820 0.709
F: 0.265 0.496 0.738
F: 0.765 0.504 0.762

Entry 18:
Material: GePbO2F
Method: DFT, GGA-PBE
State: optimized geometry

Results
Final energy, eV per atom: -4.662
Energy relative to the elements, uncorrected, kJ/mol of atoms: -61.69

a = 4.362 Å, b = 4.362 Å, c = 4.485 Å
α = 90.00°, β = 90.00°, γ = 90.00°
Positions (direct):
Pb: 0.000 0.000 0.000
O: 0.500 0.000 0.000
Ge: 0.500 0.500 0.500
O: 0.000 0.500 0.000
F: 0.000 0.000 0.500

Entry 19:
Material: GePbO2F
Method: DFT, GGA-PBE
State: optimized geometry

Results
Final energy, eV per atom: -5.357
Energy relative to the elements, uncorrected, kJ/mol of atoms: -128.74

a = 4.047 Å, b = 4.047 Å, c = 4.235 Å
α = 90.00°, β = 90.00°, γ = 90.00°
Positions (direct):
F: 0.000 0.000 0.500
Pb: 0.500 0.500 0.500
Ge: 0.000 0.000 0.000
O: 0.000 0.500 0.000
O: 0.500 0.000 0.000

Entry 20:
Material: GePb2O4F
Method: DFT, GGA-PBE
State: optimized geometry

Results
Final energy, eV per atom: -5.505
Energy relative to the elements, uncorrected, kJ/mol of atoms: -124.28

a = 3.227 Å, b = 5.226 Å, c = 8.019 Å
α = 83.54°, β = 78.39°, γ = 72.02°
Positions (direct):
Pb: 0.839 0.570 0.751
Ge: 0.000 0.000 0.000
O: 0.396 0.253 0.955
O: 0.604 0.747 0.045
F: 0.500 0.500 0.500
Pb: 0.161 0.430 0.249
O: 0.160 0.904 0.777
O: 0.840 0.096 0.223